(1)
{"formula": "Ac8CoAu3I4", "functional": "PBE-GGA", "state": "optimized geometry", "raw_formation_energy_ev_per_atom": -0.851, "m_tot_mub_per_cell": 0.00, "spacegroup": "No. 12", "total_energy_ev_per_fu": -69.6, "lattice_angstrom": [[9.088, 0.000, 0.000], [0.000, 10.022, 0.661], [-4.544, -4.550, 6.422]], "species": ["Ac", "Ac", "Ac", "Ac", "Ac", "Ac", "Ac", "Ac", "I", "I", "I", "I", "Co", "Au", "Au", "Au"], "frac_coords": [[0.250, 0.313, 0.031], [0.732, 0.694, 0.463], [0.781, 0.313, 0.031], [0.268, 0.306, 0.537], [0.781, 0.313, 0.563], [0.750, 0.687, 0.969], [0.219, 0.687, 0.969], [0.219, 0.687, 0.437], [0.000, 0.000, 0.000], [0.500, 0.000, 0.000], [0.500, 0.000, 0.500], [0.000, 0.000, 0.500], [0.000, 0.500, 0.000], [0.000, 0.500, 0.500], [0.500, 0.500, 0.500], [0.500, 0.500, 0.000]]}

=====

(2)
{"formula": "Ac4CoAuI2", "functional": "PBE-GGA", "state": "optimized geometry", "raw_formation_energy_ev_per_atom": -0.782, "m_tot_mub_per_cell": 0.00, "spacegroup": "No. 10", "total_energy_ev_per_fu": -36.2, "lattice_angstrom": [[4.420, 0.000, 0.000], [0.000, 7.804, 0.160], [0.000, -2.737, 8.542]], "species": ["Ac", "Ac", "Ac", "Ac", "Co", "Au", "I", "I"], "frac_coords": [[0.000, 0.712, 0.183], [0.000, 0.288, 0.817], [0.500, 0.745, 0.814], [0.500, 0.255, 0.186], [0.500, 0.500, 0.000], [0.000, 0.000, 0.000], [0.500, 0.000, 0.500], [0.000, 0.500, 0.500]]}

=====

(3)
{"formula": "Ac8CoIrAu2", "functional": "PBE-GGA", "state": "optimized geometry", "ef_mev_per_atom": -375, "m_tot_mub_per_cell": 0.00, "spacegroup": "No. 10", "total_energy_ev_per_fu": -59.9, "lattice_angstrom": [[7.297, -0.044, -0.004], [-0.049, 7.341, -0.009], [0.005, 0.010, 8.704]], "species": ["Co", "Ac", "Ac", "Ac", "Ac", "Ac", "Ac", "Ac", "Ac", "Ir", "Au", "Au"], "frac_coords": [[0.000, 0.000, 0.000], [0.673, 0.775, 0.000], [0.155, 0.777, 0.245], [0.335, 0.234, 0.500], [0.845, 0.223, 0.245], [0.327, 0.225, 0.000], [0.845, 0.223, 0.755], [0.665, 0.766, 0.500], [0.155, 0.777, 0.755], [0.000, 0.000, 0.500], [0.500, 0.500, 0.245], [0.500, 0.500, 0.755]]}